Entry 1:
Ac3PmTh2Sb6 | PBE-GGA | relaxed

## Properties
Formation energy from raw total energies, eV per atom: -1.117
Density of states at the Fermi level, states/eV per cell: 3.0

abc: 8.0254 8.0254 8.0759
angles: 99.52 99.52 120.04
With the nearest neighbours (Å) after each atom.
Atoms (fractional coordinates):
Ac: 0.1663 0.8337 0.5000  6 Sb 3.36
Ac: 0.8337 0.1663 0.5000  6 Sb 3.36
Ac: 0.5000 0.5000 0.5000  6 Sb 3.36-3.37
Pm: 0.0000 0.0000 0.0000  6 Sb 3.21
Th: 0.3333 0.6667 0.0000  6 Sb 3.20-3.21
Th: 0.6667 0.3333 0.0000  6 Sb 3.20-3.21
Sb: 0.9225 0.5884 0.7675  2 Th 3.20-3.21, 1 Pm 3.21, 3 Ac 3.36-3.37
Sb: 0.7434 0.7434 0.2326  2 Th 3.21, 1 Pm 3.21, 3 Ac 3.36
Sb: 0.0775 0.4116 0.2325  2 Th 3.20-3.21, 1 Pm 3.21, 3 Ac 3.36-3.37
Sb: 0.5884 0.9225 0.7675  2 Th 3.20-3.21, 1 Pm 3.21, 3 Ac 3.36-3.37
Sb: 0.2566 0.2566 0.7674  2 Th 3.21, 1 Pm 3.21, 3 Ac 3.36
Sb: 0.4116 0.0775 0.2325  2 Th 3.20-3.21, 1 Pm 3.21, 3 Ac 3.36-3.37

=====

Entry 2:
AcPm2TmSb4 | PBE-GGA | relaxed

## Properties
Formation energy from raw total energies, eV per atom: -1.126
Density of states at the Fermi level, states/eV per cell: 0.9

abc: 4.5414 7.8663 7.8518
angles: 70.59 90.00 90.00
With the nearest neighbours (Å) after each atom.
Atoms (fractional coordinates):
Ac: 0.5000 0.5000 0.0000  6 Sb 3.28
Pm: 0.0000 0.0000 0.0000  6 Sb 3.25-3.26
Pm: 0.5000 0.0000 0.5000  6 Sb 3.14
Tm: 0.0000 0.5000 0.5000  6 Sb 3.16-3.17
Sb: 0.0000 0.7575 0.7354  3 Pm 3.14-3.25, 1 Tm 3.16, 2 Ac 3.28
Sb: 0.0000 0.2425 0.2646  3 Pm 3.14-3.25, 1 Tm 3.16, 2 Ac 3.28
Sb: 0.5000 0.7484 0.2623  3 Pm 3.14-3.26, 2 Tm 3.17, 1 Ac 3.28
Sb: 0.5000 0.2516 0.7377  3 Pm 3.14-3.26, 2 Tm 3.17, 1 Ac 3.28

=====

Entry 3:
AcPmTm2Sb4 | PBE-GGA | relaxed

## Properties
Formation energy from raw total energies, eV per atom: -1.108
Density of states at the Fermi level, states/eV per cell: 1.1

abc: 4.5025 7.7718 7.7977
angles: 70.50 90.00 90.00
With the nearest neighbours (Å) after each atom.
Atoms (fractional coordinates):
Ac: 0.5000 0.5000 0.0000  6 Sb 3.29-3.30
Pm: 0.0000 0.5000 0.5000  6 Sb 3.23
Tm: 0.0000 0.0000 0.0000  6 Sb 3.14
Tm: 0.5000 0.0000 0.5000  6 Sb 3.07
Sb: 0.0000 0.7715 0.7355  3 Tm 3.07-3.14, 1 Pm 3.23, 2 Ac 3.30
Sb: 0.0000 0.2285 0.2645  3 Tm 3.07-3.14, 1 Pm 3.23, 2 Ac 3.30
Sb: 0.5000 0.7658 0.2518  3 Tm 3.07-3.14, 2 Pm 3.23, 1 Ac 3.29
Sb: 0.5000 0.2342 0.7482  3 Tm 3.07-3.14, 2 Pm 3.23, 1 Ac 3.29